## La2PrMg9 (PBE)

Data for a geometry-optimized La2PrMg9 structure.

Summary:
- ΔE_f (eV/f.u.) = -1.0
- volume (Å³ per cell) = 977.3
- theoretical density (g cm⁻³) = 3.249
- total magnetization (μB per cell) = 0.0
- calculated total energy (eV per cell) = -89.97

```
data_La2PrMg9
_chemical_formula_sum 'La6 Pr3 Mg27'
_symmetry_space_group_name_H-M 'R -3 m'
_symmetry_Int_Tables_number 166
_symmetry_space_group_name_Hall '-R 3 2"'
_cell_length_a 6.1230
_cell_length_b 6.1230
_cell_length_c 30.0988
_cell_angle_alpha 90.00
_cell_angle_beta 90.00
_cell_angle_gamma 120.00
loop_
_atom_site_label
_atom_site_fract_x
_atom_site_fract_y
_atom_site_fract_z
La1 0.0000 0.0000 0.1441
Pr1 0.0000 0.0000 0.0000
Mg1 0.0000 0.0000 0.3340
Mg2 0.0000 0.0000 0.5000
Mg3 0.0026 0.5013 0.9173
```

---

## Ca6Pd23 (PBE)

Data for a geometry-optimized Ca6Pd23 structure.

Summary:
- ΔE_f (eV/f.u.) = -12.5
- volume (Å³ per cell) = 2150.4
- theoretical density (g cm⁻³) = 8.303
- total magnetization (μB per cell) = 0.0
- calculated total energy (eV per cell) = -575.90

```
data_Ca6Pd23
_chemical_formula_sum 'Ca24 Pd92'
_symmetry_space_group_name_H-M 'F m -3 m'
_symmetry_Int_Tables_number 225
_symmetry_space_group_name_Hall '-F 4 2 3'
_cell_length_a 12.907
_cell_length_b 12.907
_cell_length_c 12.907
_cell_angle_alpha 90.00
_cell_angle_beta 90.00
_cell_angle_gamma 90.00
loop_
_atom_site_label
_atom_site_fract_x
_atom_site_fract_y
_atom_site_fract_z
Ca1 0.000 0.000 0.221
Pd1 0.000 0.000 0.500
Pd2 0.000 0.250 0.250
Pd3 0.120 0.120 0.380
Pd4 0.171 0.171 0.171
```

---

## Li2SiS (PBE)

Data for a geometry-optimized Li2SiS structure.

Summary:
- energy relative to the elements, uncorrected (eV/atom) = -0.819
- volume (Å³ per cell) = 399.9
- E above lowest polymorph (meV/atom) = 10
- theoretical density (g cm⁻³) = 1.844
- total magnetization (μB per cell) = 0.0
- calculated total energy (eV per cell) = -99.93

```
data_Li2SiS
_chemical_formula_sum 'Li12 Si6 S6'
_symmetry_space_group_name_H-M 'R 3 m'
_symmetry_Int_Tables_number 160
_symmetry_space_group_name_Hall 'R 3 -2"'
_cell_length_a 3.9602
_cell_length_b 3.9602
_cell_length_c 29.4429
_cell_angle_alpha 90.00
_cell_angle_beta 90.00
_cell_angle_gamma 120.00
loop_
_atom_site_label
_atom_site_fract_x
_atom_site_fract_y
_atom_site_fract_z
Li1 0.0000 0.0000 0.0000
Li2 0.0000 0.0000 0.1692
Li3 0.0000 0.0000 0.3877
Li4 0.0000 0.0000 0.7810
Si1 0.0000 0.0000 0.5804
Si2 0.0000 0.0000 0.8843
S1 0.0000 0.0000 0.0886
S2 0.0000 0.0000 0.6550
```

---

## InBiPt3 (PBE)

Data for a geometry-optimized InBiPt3 structure.

Summary:
- ΔE_f (eV/f.u.) = 3.3
- volume (Å³ per cell) = 121.8
- E above lowest polymorph (meV/atom) = 0
- theoretical density (g cm⁻³) = 12.393
- total magnetization (μB per cell) = 0.0
- calculated total energy (eV per cell) = -21.41

```
data_InBiPt3
_chemical_formula_sum 'In1 Bi1 Pt3'
_symmetry_space_group_name_H-M 'P m -3 m'
_symmetry_Int_Tables_number 221
_symmetry_space_group_name_Hall '-P 4 2 3'
_cell_length_a 4.957
_cell_length_b 4.957
_cell_length_c 4.957
_cell_angle_alpha 90.00
_cell_angle_beta 90.00
_cell_angle_gamma 90.00
loop_
_atom_site_label
_atom_site_fract_x
_atom_site_fract_y
_atom_site_fract_z
In1 0.000 0.000 0.000
Bi1 0.500 0.500 0.500
Pt1 0.000 0.000 0.500
```

---

## ErScSi (PBE)

Data for a geometry-optimized ErScSi structure.

Summary:
- energy relative to the elements, uncorrected (eV/atom) = -0.443
- volume (Å³ per cell) = 799.9
- E above lowest polymorph (meV/atom) = 185
- theoretical density (g cm⁻³) = 5.987
- total magnetization (μB per cell) = 0.0
- calculated total energy (eV per cell) = -211.76

```
data_ErScSi
_chemical_formula_sum 'Er12 Sc12 Si12'
_symmetry_space_group_name_H-M 'A m m 2'
_symmetry_Int_Tables_number 38
_cell_length_a 6.110
_cell_length_b 14.430
_cell_length_c 9.072
_cell_angle_alpha 90.00
_cell_angle_beta 90.00
_cell_angle_gamma 90.00
loop_
_symmetry_equiv_pos_as_xyz
'x,y,z'
'-x,-y,z'
'-x,y,z'
'x,-y,z'
'x,y+1/2,z+1/2'
'-x,-y+1/2,z+1/2'
'-x,y+1/2,z+1/2'
'x,-y+1/2,z+1/2'
loop_
_atom_site_label
_atom_site_fract_x
_atom_site_fract_y
_atom_site_fract_z
Er1 0.000 0.000 0.000
Er2 0.000 0.129 0.630
Er3 0.500 0.000 0.442
Er4 0.500 0.139 0.915
Sc1 0.248 0.156 0.251
Sc2 0.500 0.174 0.582
Si1 0.000 0.000 0.344
Si2 0.000 0.204 0.961
Si3 0.307 0.000 0.730
Si4 0.500 0.000 0.133
```

---

## Tl6OF4 (PBE)

Data for a geometry-optimized Tl6OF4 structure.

Summary:
- energy relative to the elements, uncorrected (eV/atom) = -1.420
- volume (Å³ per cell) = 1241.7
- theoretical density (g cm⁻³) = 7.052
- total magnetization (μB per cell) = 0.0
- calculated total energy (eV per cell) = -169.03

```
data_Tl6OF4
_chemical_formula_sum 'Tl24 O4 F16'
_symmetry_space_group_name_H-M 'C 1 c 1'
_symmetry_Int_Tables_number 9
_cell_length_a 12.383
_cell_length_b 7.239
_cell_length_c 14.410
_cell_angle_alpha 90.00
_cell_angle_beta 106.00
_cell_angle_gamma 90.00
loop_
_symmetry_equiv_pos_as_xyz
'x,y,z'
'x,-y,z+1/2'
'x+1/2,y+1/2,z'
'x+1/2,-y+1/2,z+1/2'
loop_
_atom_site_label
_atom_site_fract_x
_atom_site_fract_y
_atom_site_fract_z
Tl1 0.000 0.060 0.000
Tl2 0.104 0.251 0.782
Tl3 0.178 0.384 0.499
Tl4 0.255 0.252 0.221
Tl5 0.362 0.065 0.994
Tl6 0.419 0.244 0.716
O1 0.363 0.252 0.543
F1 0.079 0.030 0.180
F2 0.193 0.252 0.044
F3 0.211 0.396 0.679
F4 0.430 0.121 0.172
```

---

## CrPt2 (PBE)

Data for a geometry-optimized CrPt2 structure.

Summary:
- ΔE_f (eV/f.u.) = 0.4
- volume (Å³ per cell) = 204.3
- theoretical density (g cm⁻³) = 14.373
- total magnetization (μB per cell) = 15.8
- calculated total energy (eV per cell) = -85.38

```
data_CrPt2
_chemical_formula_sum 'Cr4 Pt8'
_symmetry_space_group_name_H-M 'P 63/m m c'
_symmetry_Int_Tables_number 194
_symmetry_space_group_name_Hall '-P 6c 2c'
_cell_length_a 5.2829
_cell_length_b 5.2829
_cell_length_c 8.4543
_cell_angle_alpha 90.00
_cell_angle_beta 90.00
_cell_angle_gamma 120.00
loop_
_atom_site_label
_atom_site_fract_x
_atom_site_fract_y
_atom_site_fract_z
Cr1 0.3333 0.6667 0.0578
Pt1 0.0000 0.0000 0.0000
Pt2 0.1706 0.3413 0.7500
```

---

## HfCoNi3 (PBE)

Data for a geometry-optimized HfCoNi3 structure.

Summary:
- ΔE_f (eV/f.u.) = 1.6
- volume (Å³ per cell) = 319.7
- E above lowest polymorph (meV/atom) = 0
- theoretical density (g cm⁻³) = 8.592
- total magnetization (μB per cell) = 6.7
- calculated total energy (eV per cell) = -131.08

```
data_HfCoNi3
_chemical_formula_sum 'Hf4 Co4 Ni12'
_symmetry_space_group_name_H-M 'I -4 m 2'
_symmetry_Int_Tables_number 119
_symmetry_space_group_name_Hall 'I -4 -2'
_cell_length_a 4.531
_cell_length_b 4.531
_cell_length_c 15.572
_cell_angle_alpha 90.00
_cell_angle_beta 90.00
_cell_angle_gamma 90.00
loop_
_atom_site_label
_atom_site_fract_x
_atom_site_fract_y
_atom_site_fract_z
Hf1 0.000 0.000 0.182
Co1 0.000 0.000 0.500
Co2 0.000 0.500 0.750
Ni1 0.000 0.246 0.625
Ni2 0.000 0.500 0.073
```